Computed, not measured: crystalline PuGaAu at its relaxed geometry at the GGA-PBE level of DFT.

a = 3.284 Å, b = 3.284 Å, c = 11.580 Å
α = 90.00°, β = 90.00°, γ = 90.00°
Space group I4mm (No. 107)
Unique sites:
Pu: 0.000 0.000 0.000 (multiplicity 2)
Ga: 0.000 0.000 0.683 (multiplicity 2)
Au: 0.000 0.000 0.313 (multiplicity 2)

## Properties
- DOS(E_F) (states/eV/cell) = 15.94
- energy (eV/atom) = -7.20